#w
SrLi2Tc | PBEsol | optimized geometry

The structure in CIF format:
```
data_SrLi2Tc
_chemical_formula_sum 'Sr1 Li2 Tc1'
_cell_length_a 3.304
_cell_length_b 3.304
_cell_length_c 7.817
_cell_angle_alpha 90.00
_cell_angle_beta 90.00
_cell_angle_gamma 90.00
_space_group_name_H-M_alt 'P 4 m m'
_space_group_IT_number 99
_space_group_name_Hall 'P 4 -2'
loop_
_atom_site_label
_atom_site_type_symbol
_atom_site_fract_x
_atom_site_fract_y
_atom_site_fract_z
Sr1 Sr 0.000 0.000 0.000
Li1 Li 0.000 0.000 0.430
Li2 Li 0.500 0.500 0.620
Tc1 Tc 0.500 0.500 0.263
```

Calculated values
For the density of states at the Fermi level, the calculation gives 0.73 states/eV per atom. As for the volume: 85.4 Å³/cell. The crystal system is tetragonal. Its density is 3.88 g/cm3.



#x
SrLi2Tc | PBEsol | optimized geometry

The structure in CIF format:
```
data_SrLi2Tc
_chemical_formula_sum 'Sr3 Li6 Tc3'
_cell_length_a 3.0050
_cell_length_b 3.0050
_cell_length_c 31.3927
_cell_angle_alpha 90.00
_cell_angle_beta 90.00
_cell_angle_gamma 120.00
_space_group_name_H-M_alt 'R 3 m'
_space_group_IT_number 160
_space_group_name_Hall 'R 3 -2"'
loop_
_atom_site_label
_atom_site_type_symbol
_atom_site_fract_x
_atom_site_fract_y
_atom_site_fract_z
Sr1 Sr 0.0000 0.0000 0.0000
Li1 Li 0.0000 0.0000 0.5180
Li2 Li 0.0000 0.0000 0.7672
Tc1 Tc 0.0000 0.0000 0.2532
```

Calculated values
For the density of states at the Fermi level, the calculation gives 1.07 states/eV per atom. As for the volume: 245.5 Å³/cell. The crystal system is trigonal. Its density is 4.05 g/cm3.



Most stable: #w (next structure +0.092 eV/atom)



#w
SrLi2Y | PBEsol | optimized geometry

The structure in CIF format:
```
data_SrLi2Y
_chemical_formula_sum 'Sr4 Li8 Y4'
_cell_length_a 8.428
_cell_length_b 8.428
_cell_length_c 6.872
_cell_angle_alpha 90.00
_cell_angle_beta 90.00
_cell_angle_gamma 90.00
_space_group_name_H-M_alt 'I -4 2 d'
_space_group_IT_number 122
_space_group_name_Hall 'I -4 2bw'
loop_
_atom_site_label
_atom_site_type_symbol
_atom_site_fract_x
_atom_site_fract_y
_atom_site_fract_z
Sr1 Sr 0.000 0.000 0.000
Li1 Li 0.238 0.250 0.625
Y1 Y 0.000 0.000 0.500
```

Calculated values
For the density of states at the Fermi level, the calculation gives 1.18 states/eV per atom. As for the volume: 488.1 Å³/cell. The crystal system is tetragonal. Its density is 2.59 g/cm3.



#x
SrLi2Y | PBEsol | optimized geometry

The structure in CIF format:
```
data_SrLi2Y
_chemical_formula_sum 'Sr2 Li4 Y2'
_cell_length_a 3.604
_cell_length_b 5.665
_cell_length_c 11.562
_cell_angle_alpha 90.00
_cell_angle_beta 90.00
_cell_angle_gamma 90.00
_space_group_name_H-M_alt 'I m m 2'
_space_group_IT_number 44
_space_group_name_Hall 'I 2 -2'
loop_
_atom_site_label
_atom_site_type_symbol
_atom_site_fract_x
_atom_site_fract_y
_atom_site_fract_z
Sr1 Sr 0.000 0.000 0.000
Li1 Li 0.000 0.000 0.550
Li2 Li 0.000 0.500 0.238
Y1 Y 0.000 0.500 0.794
```

Calculated values
For the density of states at the Fermi level, the calculation gives 1.03 states/eV per atom. As for the volume: 236.0 Å³/cell. The crystal system is orthorhombic. Its density is 2.68 g/cm3.



Most stable: #x (next structure +0.215 eV/atom)



#w
SrLi2Y | PBEsol | optimized geometry

The structure in CIF format:
```
data_SrLi2Y
_chemical_formula_sum 'Sr2 Li4 Y2'
_cell_length_a 11.011
_cell_length_b 3.493
_cell_length_c 6.585
_cell_angle_alpha 90.00
_cell_angle_beta 97.37
_cell_angle_gamma 90.00
_space_group_name_H-M_alt 'C 1 2/m 1'
_space_group_IT_number 12
_space_group_name_Hall '-C 2y'
loop_
_atom_site_label
_atom_site_type_symbol
_atom_site_fract_x
_atom_site_fract_y
_atom_site_fract_z
Sr1 Sr 0.000 0.000 0.000
Li1 Li 0.244 0.000 0.706
Y1 Y 0.000 0.500 0.500
```

Calculated values
For the density of states at the Fermi level, the calculation gives 0.97 states/eV per atom. As for the volume: 251.2 Å³/cell. The crystal system is monoclinic. Its density is 2.52 g/cm3.



#x
SrLi2Y | PBEsol | optimized geometry

The structure in CIF format:
```
data_SrLi2Y
_chemical_formula_sum 'Sr2 Li4 Y2'
_cell_length_a 12.017
_cell_length_b 3.564
_cell_length_c 5.782
_cell_angle_alpha 90.00
_cell_angle_beta 108.28
_cell_angle_gamma 90.00
_space_group_name_H-M_alt 'C 1 m 1'
_space_group_IT_number 8
_space_group_name_Hall 'C -2y'
loop_
_atom_site_label
_atom_site_type_symbol
_atom_site_fract_x
_atom_site_fract_y
_atom_site_fract_z
Sr1 Sr 0.000 0.000 0.000
Li1 Li 0.048 0.500 0.532
Li2 Li 0.241 0.000 0.817
Y1 Y 0.293 0.500 0.362
```

Calculated values
For the density of states at the Fermi level, the calculation gives 0.86 states/eV per atom. As for the volume: 235.1 Å³/cell. The crystal system is monoclinic. Its density is 2.69 g/cm3.



Most stable: #x (next structure +0.076 eV/atom)